No. 1
This record from Alexandria via LeMat-Bulk describes MnCrCl2 after structural relaxation. The functional is PBE.

Properties
- E_form (uncorrected): 0.039 eV per atom
- N(E_F): 5.87 states/eV/cell
- E above lowest polymorph: 0.311 eV per atom

Structure (CIF):
```
data_MnCrCl2
_chemical_formula_sum 'Mn2 Cr2 Cl4'
_space_group_name_H-M_alt 'I m m m'
_space_group_IT_number 71
_space_group_name_Hall '-I 2 2'
_cell_length_a 3.266
_cell_length_b 6.274
_cell_length_c 7.907
_cell_angle_alpha 90.00
_cell_angle_beta 90.00
_cell_angle_gamma 90.00
loop_
_atom_site_label
_atom_site_type_symbol
_atom_site_fract_x
_atom_site_fract_y
_atom_site_fract_z
Mn1 Mn 0.000 0.000 0.000
Cr1 Cr 0.000 0.000 0.500
Cl1 Cl 0.000 0.500 0.259
```

=====

No. 2
This record from Alexandria via LeMat-Bulk describes Cs2PN3 after structural relaxation. The functional is PBE.

Properties
- E_form (uncorrected): 0.073 eV per atom

Structure (CIF):
```
data_Cs2PN3
_chemical_formula_sum 'Cs4 P2 N6'
_space_group_name_H-M_alt 'P -3 m 1'
_space_group_IT_number 164
_space_group_name_Hall '-P 3 2"'
_cell_length_a 6.9934
_cell_length_b 6.9934
_cell_length_c 8.1058
_cell_angle_alpha 90.00
_cell_angle_beta 90.00
_cell_angle_gamma 120.00
loop_
_atom_site_label
_atom_site_type_symbol
_atom_site_fract_x
_atom_site_fract_y
_atom_site_fract_z
Cs1 Cs 0.0000 0.0000 0.0000
Cs2 Cs 0.0000 0.0000 0.5000
Cs3 Cs 0.3333 0.6667 0.2482
P1 P 0.3333 0.6667 0.7502
N1 N 0.2042 0.4084 0.7503
```